Material: Cs2TaTcI6
Method: DFT, PBE
State: relaxed

Energy relative to the elements, uncorrected, meV/atom: -377
Space-group type: Fm-3m, No. 225
D(E_F), states/eV/atom: 1.47
Magnetic moment, μB/f.u.: 6.452

abc: 8.2743 8.2743 8.2778
angles: 60.01 60.01 90.00
Last column: nearest neighbours and their distance in Å.
Fractional coordinates of all 10 atoms:
Cs: 0.2500 0.7500 0.5000  12 I 4.14
I: 0.7538 0.7538 0.0000  1 Ta 2.88, 1 Tc 2.97
Ta: 0.0000 0.0000 0.0000  6 I 2.88
I: 0.2462 0.2462 0.5077  1 Ta 2.88, 1 Tc 2.97
I: 0.2462 0.7538 0.0000  1 Ta 2.88, 1 Tc 2.97
I: 0.7538 0.7538 0.4923  1 Ta 2.88, 1 Tc 2.97
Cs: 0.7500 0.2500 0.5000  12 I 4.14
Tc: 0.5000 0.5000 0.0000  6 I 2.97
I: 0.2462 0.2462 0.0000  1 Ta 2.88, 1 Tc 2.97
I: 0.7538 0.2462 0.0000  1 Ta 2.88, 1 Tc 2.97